Entry 1:
Here is a relaxed Tl14Ga2Te9 crystal from Alexandria via LeMat-Bulk. Energies are from PBE.

Summary:
Energy relative to the elements, uncorrected in meV/atom: -243
Density of states at the Fermi level in states/eV per atom: 0.47

Lattice parameters (Å, degrees): 9.6410 9.6410 11.5299 90.00 90.00 120.00
Sites, in units of the cell vectors:
Tl 0.0000 0.0000 0.2065
Tl 0.0000 0.0000 0.7935
Tl 0.0230 0.6775 0.3975
Tl 0.1076 0.4335 0.1528
Tl 0.3225 0.3455 0.3975
Tl 0.3259 0.8924 0.1528
Tl 0.3455 0.0230 0.6025
Tl 0.4335 0.3259 0.8472
Tl 0.5665 0.6741 0.1528
Tl 0.6545 0.9770 0.3975
Tl 0.6741 0.1076 0.8472
Tl 0.6775 0.6545 0.6025
Tl 0.8924 0.5665 0.8472
Tl 0.9770 0.3225 0.6025
Ga 0.3333 0.6667 0.7919
Ga 0.6667 0.3333 0.2081
Te 0.0000 0.0000 0.5000
Te 0.1150 0.3790 0.8782
Te 0.2640 0.8850 0.8782
Te 0.3333 0.6667 0.5570
Te 0.3790 0.2640 0.1218
Te 0.6210 0.7360 0.8782
Te 0.6667 0.3333 0.4430
Te 0.7360 0.1150 0.1218
Te 0.8850 0.6210 0.1218

---

Entry 2:
Here is a relaxed Si2SeBr crystal from Alexandria via LeMat-Bulk. Energies are from PBE.

Summary:
Energy relative to the elements, uncorrected in meV/atom: 293
E above lowest polymorph in meV/atom: 365.6
Density of states at the Fermi level in states/eV per atom: 0.71

Lattice parameters (Å, degrees): 7.4230 7.4230 7.4230 154.13 139.18 48.97
Sites, in units of the cell vectors:
Si 0.0000 0.0000 0.0000
Si 0.8517 0.3517 0.5000
Se 0.7308 0.7308 0.0000
Br 0.4544 0.9544 0.5000

---

Entry 3:
Here is a relaxed Pm3Tm2Sc2 crystal from Alexandria via LeMat-Bulk. Energies are from PBE.

Summary:
E above lowest polymorph in meV/atom: 33.9
E_form in eV per atom: 0.08
Density of states at the Fermi level in states/eV per atom: 1.55

Lattice parameters (Å, degrees): 11.9563 11.9563 3.4429 90.00 90.00 154.50
Sites, in units of the cell vectors:
Pm 0.0000 0.0000 0.0000
Pm 0.1488 0.8512 0.0000
Pm 0.8512 0.1488 0.0000
Tm 0.2878 0.7122 0.5000
Tm 0.7122 0.2878 0.5000
Sc 0.4299 0.5701 0.5000
Sc 0.5701 0.4299 0.5000

---

Entry 4:
Here is a relaxed Be2Hg2Mo crystal from Alexandria via LeMat-Bulk. Energies are from PBE.

Summary:
E_form in eV per atom: 0.59
Density of states at the Fermi level in states/eV per atom: 0.48

Lattice parameters (Å, degrees): 8.6259 8.6259 8.6259 159.87 159.87 28.61
Sites, in units of the cell vectors:
Be 0.2500 0.7500 0.5000
Be 0.7500 0.2500 0.5000
Hg 0.1239 0.1239 0.0000
Hg 0.8761 0.8761 0.0000
Mo 0.5000 0.5000 0.0000

---

Entry 5:
Here is a relaxed AcNdAgAs crystal from Alexandria via LeMat-Bulk. Energies are from PBE.

Summary:
E_form in eV per atom: -0.61
Density of states at the Fermi level in states/eV per atom: 1.01

Lattice parameters (Å, degrees): 5.3837 5.3837 5.3837 60.00 60.00 60.00
Sites, in units of the cell vectors:
Ac 0.0000 0.0000 0.0000
Nd 0.5000 0.5000 0.5000
Ag 0.7500 0.7500 0.7500
As 0.2500 0.2500 0.2500

---

Entry 6:
Here is a relaxed Fe2AuCl crystal from Alexandria via LeMat-Bulk. Energies are from PBE.

Summary:
Energy relative to the elements, uncorrected in meV/atom: 151
E above lowest polymorph in meV/atom: 55.6
Density of states at the Fermi level in states/eV per atom: 0.74

Lattice parameters (Å, degrees): 3.0887 3.0887 7.3016 90.00 90.00 90.00
Sites, in units of the cell vectors:
Fe 0.0000 0.0000 0.0000
Fe 0.5000 0.5000 0.1664
Au 0.0000 0.0000 0.3870
Cl 0.5000 0.5000 0.8106